Entry 1:
Entry from Alexandria: a relaxed AgPtRh2 crystal (PBE).

Values from the calculation:
The density of states at the Fermi level comes out at 4.53 states/eV/f.u. The energy relative to the elements comes out at 0.17 eV per atom. The value obtained for the energy above the lowest structure with this stoichiometry is 101.3 meV per atom.

Cell lengths 4.805, 4.805, 4.805 Å; angles 131.37, 131.37, 71.22 degrees
Element x y z (fractional)
Rh (0.250, 0.750, 0.500)
Rh (0.750, 0.250, 0.500)
Pt (0.000, 0.000, 0.000)
Ag (0.500, 0.500, 0.000)

Entry 2:
Entry from Alexandria: a relaxed Ag2PtRh crystal (PBE).

Values from the calculation:
The density of states at the Fermi level comes out at 5.57 states/eV/f.u. The energy relative to the elements comes out at 0.33 eV per atom. The value obtained for the energy above the lowest structure with this stoichiometry is 245.1 meV per atom.

Cell lengths 4.531, 4.531, 4.531 Å; angles 60.00, 60.00, 60.00 degrees
Last column: magnetic moment on the atom in μB.
Element x y z (fractional)
Pt (0.500, 0.500, 0.500)  0.24
Ag (0.750, 0.750, 0.750)  0.04
Ag (0.250, 0.250, 0.250)  0.04
Rh (0.000, 0.000, 0.000)  0.73

Entry 3:
Entry from Alexandria: a relaxed Ag2PtRh crystal (PBE).

Values from the calculation:
The density of states at the Fermi level comes out at 4.52 states/eV/f.u. The energy relative to the elements comes out at 0.10 eV per atom. The value obtained for the energy above the lowest structure with this stoichiometry is 19.8 meV per atom.

Cell lengths 9.603, 9.603, 9.603 Å; angles 16.84, 16.84, 16.84 degrees
Last column: magnetic moment on the atom in μB.
Element x y z (fractional)
Ag (0.749, 0.749, 0.749)  0.02
Ag (0.251, 0.251, 0.251)  0.02
Rh (0.000, 0.000, 0.000)  0.89
Pt (0.500, 0.500, 0.500)  0.07

Entry 4:
Entry from Alexandria: a relaxed AgPt2Rh crystal (PBE).

Values from the calculation:
The density of states at the Fermi level comes out at 5.30 states/eV/f.u. The energy relative to the elements comes out at 0.13 eV per atom. The value obtained for the energy above the lowest structure with this stoichiometry is 140.1 meV per atom.

Cell lengths 5.561, 5.561, 5.561 Å; angles 151.21, 128.77, 59.83 degrees
Element x y z (fractional)
Pt (0.010, 0.010, 0.000)
Pt (0.253, 0.753, 0.500)
Rh (0.488, 0.488, 0.000)
Ag (0.749, 0.249, 0.500)

Entry 5:
Entry from Alexandria: a relaxed AgPt2Rh crystal (PBE).

Values from the calculation:
The density of states at the Fermi level comes out at 6.57 states/eV/f.u. The energy relative to the elements comes out at 0.09 eV per atom. The value obtained for the energy above the lowest structure with this stoichiometry is 96.2 meV per atom.

Cell lengths 4.875, 4.875, 4.907 Å; angles 80.42, 80.42, 33.18 degrees
Last column: magnetic moment on the atom in μB.
Element x y z (fractional)
Ag (0.500, 0.500, 0.000)  0.01
Pt (0.745, 0.745, 0.259)  0.04
Pt (0.255, 0.255, 0.741)  0.04
Rh (0.000, 0.000, 0.500)  0.15

Entry 6:
Entry from Alexandria: a relaxed AgPtRh2 crystal (PBE).

Values from the calculation:
The density of states at the Fermi level comes out at 5.08 states/eV/f.u. The energy relative to the elements comes out at 0.14 eV per atom. The value obtained for the energy above the lowest structure with this stoichiometry is 77.9 meV per atom.

Cell lengths 4.829, 4.829, 4.872 Å; angles 80.26, 80.26, 33.35 degrees
Element x y z (fractional)
Pt (0.000, 0.000, 0.500)
Rh (0.256, 0.256, 0.739)
Rh (0.744, 0.744, 0.261)
Ag (0.500, 0.500, 0.000)

Entry 7:
Entry from Alexandria: a relaxed AgPt6Rh crystal (PBE).

Values from the calculation:
The density of states at the Fermi level comes out at 11.72 states/eV/f.u. The energy relative to the elements comes out at 0.01 eV per atom.

Cell lengths 3.974, 3.974, 7.949 Å; angles 90.00, 90.00, 90.00 degrees
Last column: magnetic moment on the atom in μB.
Element x y z (fractional)
Pt (0.000, 0.500, 0.744)  0.22
Pt (0.500, 0.000, 0.744)  0.22
Pt (0.500, 0.000, 0.256)  0.22
Pt (0.500, 0.500, 0.000)  0.14
Pt (0.000, 0.500, 0.256)  0.22
Pt (0.500, 0.500, 0.500)  0.17
Rh (0.000, 0.000, 0.500)  0.76
Ag (0.000, 0.000, 0.000)  0.01

Entry 8:
Entry from Alexandria: a relaxed AgPtRh crystal (PBE).

Values from the calculation:
The density of states at the Fermi level comes out at 2.59 states/eV/f.u. The energy relative to the elements comes out at 0.00 eV per atom. The value obtained for the energy above the lowest structure with this stoichiometry is 0.0 meV per atom.

Cell lengths 2.788, 2.787, 15.778 Å; angles 110.69, 122.02, 89.90 degrees
Element x y z (fractional)
Rh (0.473, 0.399, 0.075)
Rh (0.527, 0.601, 0.925)
Pt (0.450, 0.217, 0.233)
Pt (0.550, 0.783, 0.767)
Ag (0.521, 0.931, 0.590)
Ag (0.479, 0.069, 0.410)

Entry 9:
Entry from Alexandria: a relaxed AgPt2Rh crystal (PBE).

Values from the calculation:
The density of states at the Fermi level comes out at 5.62 states/eV/f.u. The energy relative to the elements comes out at 0.17 eV per atom. The value obtained for the energy above the lowest structure with this stoichiometry is 176.8 meV per atom.

Cell lengths 2.768, 4.779, 4.805 Å; angles 90.00, 90.00, 90.00 degrees
Element x y z (fractional)
Pt (0.000, 0.000, 0.000)
Pt (0.500, 0.500, 0.000)
Ag (0.000, 0.500, 0.500)
Rh (0.500, 0.000, 0.500)

Entry 10:
Entry from Alexandria: a relaxed Ag2PtRh crystal (PBE).

Values from the calculation:
The density of states at the Fermi level comes out at 4.69 states/eV/f.u. The energy relative to the elements comes out at 0.21 eV per atom. The value obtained for the energy above the lowest structure with this stoichiometry is 127.2 meV per atom.

Cell lengths 5.097, 5.097, 2.745 Å; angles 90.00, 90.00, 113.64 degrees
Last column: magnetic moment on the atom in μB.
Element x y z (fractional)
Ag (0.000, 0.500, 0.000)  0.02
Ag (0.500, 0.000, 0.000)  0.02
Pt (0.000, 0.000, 0.500)  0.10
Rh (0.500, 0.500, 0.500)  0.72

Entry 11:
Entry from Alexandria: a relaxed AgPtRh crystal (PBE).

Values from the calculation:
The density of states at the Fermi level comes out at 5.10 states/eV/f.u. The energy relative to the elements comes out at 0.18 eV per atom. The value obtained for the energy above the lowest structure with this stoichiometry is 181.1 meV per atom.

Cell lengths 7.642, 7.395, 2.750 Å; angles 84.57, 74.44, 20.99 degrees
Last column: magnetic moment on the atom in μB.
Element x y z (fractional)
Ag (0.002, 0.002, 0.998)  0.00
Rh (0.669, 0.669, 0.331)  0.14
Pt (0.330, 0.330, 0.670)  0.05

Entry 12:
Entry from Alexandria: a relaxed Ag2PtRh crystal (PBE).

Values from the calculation:
The density of states at the Fermi level comes out at 4.45 states/eV/f.u. The energy relative to the elements comes out at 0.62 eV per atom. The value obtained for the energy above the lowest structure with this stoichiometry is 539.6 meV per atom.

Cell lengths 7.382, 7.382, 5.862 Å; angles 50.98, 50.98, 90.00 degrees
Last column: magnetic moment on the atom in μB.
Element x y z (fractional)
Rh (0.500, 0.500, 0.000)  0.85
Rh (0.250, 0.750, 0.500)  0.85
Ag (0.875, 0.874, 0.750)  0.03
Ag (0.375, 0.376, 0.750)  0.03
Ag (0.624, 0.125, 0.250)  0.04
Ag (0.126, 0.625, 0.250)  0.03
Pt (0.750, 0.250, 0.500)  0.29
Pt (0.000, 0.000, 0.000)  0.29

Entry 13:
Entry from Alexandria: a relaxed AgPtRh2 crystal (PBE).

Values from the calculation:
The density of states at the Fermi level comes out at 3.95 states/eV/f.u. The energy relative to the elements comes out at 0.31 eV per atom. The value obtained for the energy above the lowest structure with this stoichiometry is 243.8 meV per atom.

Cell lengths 4.448, 4.448, 4.448 Å; angles 60.00, 60.00, 60.00 degrees
Last column: magnetic moment on the atom in μB.
Element x y z (fractional)
Rh (0.250, 0.250, 0.250)  0.46
Rh (0.750, 0.750, 0.750)  0.46
Ag (0.000, 0.000, 0.000)  0.00
Pt (0.500, 0.500, 0.500)  0.15

Entry 14:
Entry from Alexandria: a relaxed AgPt6Rh2 crystal (PBE).

Values from the calculation:
The density of states at the Fermi level comes out at 12.31 states/eV/f.u. The energy relative to the elements comes out at 0.16 eV per atom.

Cell lengths 5.454, 8.413, 8.413 Å; angles 51.14, 87.35, 87.35 degrees
Element x y z (fractional)
Rh (0.358, 0.736, 0.737)
Rh (0.858, 0.737, 0.736)
Rh (0.142, 0.263, 0.264)
Rh (0.642, 0.264, 0.263)
Pt (0.089, 0.050, 0.665)
Pt (0.911, 0.950, 0.335)
Pt (0.589, 0.050, 0.664)
Pt (0.411, 0.335, 0.950)
Pt (0.911, 0.336, 0.950)
Pt (0.411, 0.950, 0.336)
Pt (0.865, 0.421, 0.421)
Pt (0.089, 0.664, 0.050)
Pt (0.365, 0.421, 0.421)
Pt (0.589, 0.665, 0.050)
Pt (0.635, 0.579, 0.579)
Pt (0.135, 0.579, 0.579)
Ag (0.250, 0.000, 0.000)
Ag (0.750, 0.000, 0.000)

Entry 15:
Entry from Alexandria: a relaxed AgPtRh crystal (PBE).

Values from the calculation:
The density of states at the Fermi level comes out at 3.07 states/eV/f.u. The energy relative to the elements comes out at 0.54 eV per atom. The value obtained for the energy above the lowest structure with this stoichiometry is 547.2 meV per atom.

Cell lengths 4.331, 4.331, 4.331 Å; angles 60.00, 60.00, 60.00 degrees
Last column: magnetic moment on the atom in μB.
Element x y z (fractional)
Rh (0.000, 0.000, 0.000)  1.18
Ag (0.500, 0.500, 0.500)  0.04
Pt (0.750, 0.750, 0.750)  0.53

Entry 16:
Entry from Alexandria: a relaxed AgPt2Rh2 crystal (PBE).

Values from the calculation:
The density of states at the Fermi level comes out at 7.02 states/eV/f.u. The energy relative to the elements comes out at 0.17 eV per atom. The value obtained for the energy above the lowest structure with this stoichiometry is 0.0 meV per atom.

Cell lengths 7.724, 7.724, 2.747 Å; angles 90.00, 90.00, 90.00 degrees
Element x y z (fractional)
Pt (0.178, 0.678, 0.500)
Pt (0.678, 0.822, 0.500)
Pt (0.822, 0.322, 0.500)
Pt (0.322, 0.178, 0.500)
Rh (0.880, 0.620, 0.000)
Rh (0.380, 0.880, 0.000)
Rh (0.120, 0.380, 0.000)
Rh (0.620, 0.120, 0.000)
Ag (0.000, 0.000, 0.000)
Ag (0.500, 0.500, 0.000)

Entry 17:
Entry from Alexandria: a relaxed AgPtRh2 crystal (PBE).

Values from the calculation:
The density of states at the Fermi level comes out at 7.09 states/eV/f.u. The energy relative to the elements comes out at 0.22 eV per atom. The value obtained for the energy above the lowest structure with this stoichiometry is 159.6 meV per atom.

Cell lengths 2.745, 2.745, 9.500 Å; angles 90.00, 90.00, 119.32 degrees
Element x y z (fractional)
Pt (0.500, 0.500, 0.000)
Rh (0.000, 0.000, 0.243)
Rh (0.000, 0.000, 0.757)
Ag (0.500, 0.500, 0.500)

Entry 18:
Entry from Alexandria: a relaxed Ag2PtRh crystal (PBE).

Values from the calculation:
The density of states at the Fermi level comes out at 2.36 states/eV/f.u. The energy relative to the elements comes out at 0.08 eV per atom. The value obtained for the energy above the lowest structure with this stoichiometry is 1.5 meV per atom.

Cell lengths 9.645, 9.645, 9.645 Å; angles 16.75, 16.75, 16.75 degrees
Last column: magnetic moment on the atom in μB.
Element x y z (fractional)
Rh (0.248, 0.248, 0.248)  0.99
Ag (0.751, 0.751, 0.751)  0.00
Ag (0.998, 0.998, 0.998)  0.02
Pt (0.503, 0.503, 0.503)  0.26

Entry 19:
Entry from Alexandria: a relaxed AgPt2Rh crystal (PBE).

Values from the calculation:
The density of states at the Fermi level comes out at 7.37 states/eV/f.u. The energy relative to the elements comes out at 0.23 eV per atom. The value obtained for the energy above the lowest structure with this stoichiometry is 239.5 meV per atom.

Cell lengths 4.480, 4.480, 4.480 Å; angles 60.00, 60.00, 60.00 degrees
Element x y z (fractional)
Ag (0.500, 0.500, 0.500)
Pt (0.250, 0.250, 0.250)
Pt (0.000, 0.000, 0.000)
Rh (0.750, 0.750, 0.750)

Entry 20:
Entry from Alexandria: a relaxed Ag2PtRh crystal (PBE).

Values from the calculation:
The density of states at the Fermi level comes out at 4.31 states/eV/f.u. The energy relative to the elements comes out at 0.14 eV per atom. The value obtained for the energy above the lowest structure with this stoichiometry is 58.2 meV per atom.

Cell lengths 4.866, 4.866, 5.082 Å; angles 81.07, 81.07, 33.35 degrees
Element x y z (fractional)
Pt (0.504, 0.504, 0.469)
Ag (0.752, 0.752, 0.764)
Ag (0.998, 0.998, 0.986)
Rh (0.246, 0.246, 0.281)

Number 1: size of the total moment 0.00 μB/atom. Number 2: size of the total moment 0.26 μB/atom. Number 3: size of the total moment 0.25 μB/atom. Number 4: size of the total moment 0.00 μB/atom. Number 5: size of the total moment 0.06 μB/atom. Number 6: size of the total moment 0.00 μB/atom. Number 7: size of the total moment 0.24 μB/atom. Number 8: size of the total moment 0.00 μB/atom. Number 9: size of the total moment 0.00 μB/atom. Number 10: size of the total moment 0.22 μB/atom. Number 11: size of the total moment 0.07 μB/atom. Number 12: size of the total moment 0.30 μB/atom. Number 13: size of the total moment 0.27 μB/atom. Number 14: size of the total moment 0.00 μB/atom. Number 15: size of the total moment 0.59 μB/atom. Number 16: size of the total moment 0.00 μB/atom. Number 17: size of the total moment 0.00 μB/atom. Number 18: size of the total moment 0.32 μB/atom. Number 19: size of the total moment 0.00 μB/atom. Number 20: size of the total moment 0.00 μB/atom.